Record 1
## Li7Mg3Hg (GGA-PBE)

Data for crystalline Li7Mg3Hg at its relaxed geometry.

Cell: 7.307 7.307 5.068 Å, 109.85 109.85 87.10°
Element x y z (fractional)
1 Li 0.000 0.000 0.000
2 Li 0.088 0.574 0.331
3 Li 0.291 0.291 0.805
4 Li 0.426 0.912 0.669
5 Li 0.574 0.088 0.331
6 Li 0.709 0.709 0.195
7 Li 0.912 0.426 0.669
8 Mg 0.287 0.713 0.000
9 Mg 0.500 0.500 0.500
10 Mg 0.713 0.287 0.000
11 Hg 0.000 0.000 0.500

VASP energy   -1.684 eV/atom
D(E_F)   0.364 states/eV per atom
Total moment   0.0 μB/cell



Record 2
## Li5Mg2Hg (GGA-PBE)

Data for crystalline Li5Mg2Hg at its relaxed geometry.

Cell: 7.655 7.655 7.655 Å, 144.48 144.48 51.11°
Element x y z (fractional)
1 Li 0.000 0.000 0.000
2 Li 0.115 0.615 0.500
3 Li 0.385 0.885 0.500
4 Li 0.615 0.115 0.500
5 Li 0.885 0.385 0.500
6 Mg 0.253 0.253 0.000
7 Mg 0.747 0.747 0.000
8 Hg 0.500 0.500 0.000

VASP energy   -1.792 eV/atom
D(E_F)   0.435 states/eV per atom
Total moment   0.0 μB/cell



Record 3
## Li2Mg2Hg (GGA-PBE)

Data for crystalline Li2Mg2Hg at its relaxed geometry.

Cell: 8.141 8.141 8.141 Å, 153.20 153.20 38.27°
Element x y z (fractional)
1 Li 0.250 0.750 0.500
2 Li 0.750 0.250 0.500
3 Mg 0.098 0.098 0.000
4 Mg 0.902 0.902 0.000
5 Hg 0.500 0.500 0.000

VASP energy   -1.473 eV/atom
D(E_F)   0.528 states/eV per atom
Total moment   0.0 μB/cell



Record 4
## LiMg2Hg3 (GGA-PBE)

Data for crystalline LiMg2Hg3 at its relaxed geometry.

Cell: 4.959 6.699 7.751 Å, 90.00 107.91 90.00°
Element x y z (fractional)
1 Li 0.165 0.000 0.329
2 Li 0.835 0.000 0.671
3 Mg 0.168 0.500 0.332
4 Mg 0.500 0.000 0.000
5 Mg 0.500 0.500 0.000
6 Mg 0.832 0.500 0.668
7 Hg 0.000 0.244 0.000
8 Hg 0.000 0.756 0.000
9 Hg 0.328 0.238 0.659
10 Hg 0.328 0.762 0.659
11 Hg 0.672 0.238 0.341
12 Hg 0.672 0.762 0.341

VASP energy   -1.285 eV/atom
D(E_F)   0.249 states/eV per atom
Total moment   0.0 μB/cell



Record 5
## Li4MgHg7 (GGA-PBE)

Data for crystalline Li4MgHg7 at its relaxed geometry.

Cell: 6.935 6.935 9.865 Å, 121.86 121.86 44.05°
Element x y z (fractional)
1 Li 0.070 0.070 0.282
2 Li 0.208 0.208 0.834
3 Li 0.792 0.792 0.166
4 Li 0.930 0.930 0.718
5 Mg 0.500 0.500 0.500
6 Hg 0.000 0.000 0.500
7 Hg 0.149 0.149 0.076
8 Hg 0.289 0.289 0.622
9 Hg 0.424 0.424 0.159
10 Hg 0.576 0.576 0.841
11 Hg 0.711 0.711 0.378
12 Hg 0.851 0.851 0.924

VASP energy   -1.135 eV/atom
D(E_F)   0.314 states/eV per atom
Total moment   0.0 μB/cell



Record 6
## Li4MgHg2 (GGA-PBE)

Data for crystalline Li4MgHg2 at its relaxed geometry.

Cell: 7.491 7.491 7.491 Å, 36.41 36.41 36.41°
Element x y z (fractional)
1 Li 0.085 0.085 0.085
2 Li 0.361 0.361 0.361
3 Li 0.639 0.639 0.639
4 Li 0.915 0.915 0.915
5 Mg 0.500 0.500 0.500
6 Hg 0.231 0.231 0.231
7 Hg 0.769 0.769 0.769

VASP energy   -1.690 eV/atom
D(E_F)   0.407 states/eV per atom
Total moment   0.0 μB/cell



Record 7
## Li6Mg5Hg (GGA-PBE)

Data for crystalline Li6Mg5Hg at its relaxed geometry.

Cell: 8.326 8.326 4.845 Å, 106.79 106.79 120.75°
Element x y z (fractional)
1 Li 0.080 0.400 0.740
2 Li 0.231 0.231 0.231
3 Li 0.400 0.080 0.740
4 Li 0.600 0.920 0.260
5 Li 0.769 0.769 0.769
6 Li 0.920 0.600 0.260
7 Mg 0.175 0.825 0.000
8 Mg 0.334 0.666 0.500
9 Mg 0.500 0.500 0.000
10 Mg 0.666 0.334 0.500
11 Mg 0.825 0.175 0.000
12 Hg 0.000 0.000 0.500

VASP energy   -1.768 eV/atom
D(E_F)   0.361 states/eV per atom
Total moment   0.0 μB/cell



Record 8
## Li2MgHg5 (GGA-PBE)

Data for crystalline Li2MgHg5 at its relaxed geometry.

Cell: 7.906 7.906 7.906 Å, 144.38 144.38 51.26°
Element x y z (fractional)
1 Li 0.250 0.250 0.000
2 Li 0.750 0.750 0.000
3 Mg 0.000 0.000 0.000
4 Hg 0.138 0.638 0.500
5 Hg 0.362 0.862 0.500
6 Hg 0.500 0.500 0.000
7 Hg 0.638 0.138 0.500
8 Hg 0.862 0.362 0.500

VASP energy   -1.099 eV/atom
D(E_F)   0.296 states/eV per atom
Total moment   0.0 μB/cell